# 1
SmPa2S3 | Alexandria | PBE | relaxed; crystal system = monoclinic; space-group type = P2_1/c, No. 14
1.0
5.547 -0.006 0.000
0.016 7.821 0.000
0.000 0.000 11.838
Pa S Sm
8 12 4
direct
0.250 0.878 0.417 Pa
0.750 0.122 0.583 Pa
0.749 0.624 0.253 Pa
0.250 0.378 0.083 Pa
0.251 0.376 0.747 Pa
0.750 0.622 0.917 Pa
0.251 0.876 0.753 Pa
0.749 0.124 0.247 Pa
0.249 0.125 0.248 S
0.249 0.625 0.252 S
0.751 0.375 0.748 S
0.251 0.122 0.585 S
0.749 0.878 0.415 S
0.751 0.875 0.752 S
0.750 0.371 0.416 S
0.250 0.129 0.916 S
0.250 0.629 0.584 S
0.749 0.378 0.085 S
0.251 0.622 0.915 S
0.750 0.871 0.084 S
0.750 0.128 0.919 Sm
0.250 0.372 0.419 Sm
0.750 0.628 0.581 Sm
0.250 0.872 0.081 Sm

=====

# 2
Sm2PaS5 | Alexandria | PBE | relaxed; crystal system = orthorhombic; space-group type = Pnma, No. 62
1.0
7.459 0.000 0.000
0.000 8.009 0.000
0.000 0.000 11.951
Pa Sm S
4 8 20
direct
0.573 0.750 0.493 Pa
0.427 0.250 0.507 Pa
0.073 0.250 0.007 Pa
0.927 0.750 0.993 Pa
0.522 0.999 0.178 Sm
0.478 0.001 0.822 Sm
0.022 0.499 0.322 Sm
0.522 0.501 0.178 Sm
0.478 0.499 0.822 Sm
0.978 0.999 0.678 Sm
0.022 0.001 0.322 Sm
0.978 0.501 0.678 Sm
0.672 0.250 0.685 S
0.955 0.750 0.499 S
0.698 0.750 0.714 S
0.828 0.250 0.185 S
0.328 0.750 0.315 S
0.162 0.958 0.099 S
0.838 0.042 0.901 S
0.045 0.250 0.501 S
0.302 0.250 0.286 S
0.838 0.458 0.901 S
0.172 0.750 0.815 S
0.198 0.250 0.786 S
0.545 0.750 0.999 S
0.338 0.542 0.599 S
0.338 0.958 0.599 S
0.662 0.458 0.401 S
0.802 0.750 0.214 S
0.455 0.250 0.001 S
0.662 0.042 0.401 S
0.162 0.542 0.099 S

=====

# 3
Sm3PaS6 | Alexandria | PBE | relaxed; crystal system = monoclinic; space-group type = P2_1/m, No. 11
1.0
3.977 0.000 0.000
0.000 11.174 0.159
0.000 -3.581 10.866
Sm Pa S
6 2 12
direct
0.250 0.579 0.167 Sm
0.750 0.421 0.833 Sm
0.250 0.320 0.496 Sm
0.250 0.839 0.923 Sm
0.750 0.680 0.504 Sm
0.750 0.161 0.077 Sm
0.250 0.955 0.307 Pa
0.750 0.045 0.693 Pa
0.250 0.081 0.895 S
0.250 0.521 0.384 S
0.250 0.892 0.539 S
0.250 0.597 0.928 S
0.750 0.816 0.750 S
0.750 0.756 0.282 S
0.750 0.403 0.072 S
0.750 0.108 0.461 S
0.750 0.479 0.616 S
0.250 0.244 0.718 S
0.750 0.919 0.105 S
0.250 0.184 0.250 S

=====

# 4
Sm5Pa3S8 | Alexandria | PBE | relaxed; crystal system = trigonal; space-group type = R-3m, No. 166
1.0
6.853 0.000 3.926
2.302 6.455 3.926
-0.008 -0.006 7.960
S Pa Sm
8 3 5
direct
0.750 0.750 0.254 S
0.752 0.752 0.745 S
0.250 0.250 0.746 S
0.248 0.248 0.255 S
0.246 0.750 0.254 S
0.750 0.246 0.254 S
0.250 0.754 0.746 S
0.754 0.250 0.746 S
0.000 0.000 0.500 Pa
0.500 0.000 0.500 Pa
0.000 0.500 0.500 Pa
0.000 0.000 0.000 Sm
0.500 0.000 0.000 Sm
0.500 0.500 0.500 Sm
0.000 0.500 0.000 Sm
0.500 0.500 0.000 Sm

=====

# 5
SmPa4S5 | Alexandria | PBE | relaxed; crystal system = tetragonal; space-group type = I4/m, No. 87
1.0
4.980 0.000 2.402
2.490 6.191 1.201
-0.200 0.000 6.777
Pa S Sm
4 5 1
direct
0.801 0.802 0.598 Pa
0.201 0.198 0.402 Pa
0.399 0.402 0.802 Pa
0.603 0.598 0.198 Pa
0.303 0.798 0.597 S
0.102 0.597 0.202 S
0.501 0.000 0.000 S
0.900 0.403 0.798 S
0.699 0.202 0.403 S
0.001 0.000 0.000 Sm

=====

# 6
SmPaS2 | Alexandria | PBE | relaxed; crystal system = trigonal; energy above the lowest structure with this stoichiometry = 117.3 meV per atom; space-group type = R3m, No. 160
1.0
-3.175 0.176 -1.988
-3.212 -1.245 1.483
-3.444 6.233 2.514
Pa Sm S
1 1 2
direct
0.670 0.670 0.991 Pa
0.497 0.497 0.510 Sm
0.251 0.251 0.246 S
0.082 0.082 0.753 S

=====

# 7
Sm3PaS4 | Alexandria | PBE | relaxed; crystal system = orthorhombic; space-group type = Cmmm, No. 65
1.0
3.959 0.000 0.000
0.000 6.528 -2.218
0.000 -0.047 6.895
Sm Pa S
3 1 4
direct
0.500 0.500 0.500 Sm
0.000 0.500 0.000 Sm
0.000 0.000 0.500 Sm
0.500 0.000 0.000 Pa
0.000 0.755 0.755 S
0.000 0.245 0.245 S
0.500 0.247 0.753 S
0.500 0.753 0.247 S

=====

# 8
Sm2Pa3S8 | Alexandria | PBE | relaxed; crystal system = monoclinic; energy above the lowest structure with this stoichiometry = 31.3 meV per atom; space-group type = C2/m, No. 12
1.0
6.575 0.000 0.184
0.000 7.959 0.000
-2.450 -3.980 6.649
S Pa Sm
8 3 2
direct
0.089 0.391 0.782 S
0.077 0.878 0.757 S
0.583 0.641 0.750 S
0.583 0.109 0.750 S
0.911 0.609 0.218 S
0.417 0.891 0.250 S
0.417 0.359 0.250 S
0.923 0.122 0.243 S
0.500 0.000 0.000 Pa
0.000 0.248 0.000 Pa
0.000 0.752 0.000 Pa
0.664 0.739 0.477 Sm
0.336 0.261 0.523 Sm

=====

# 9
SmPa5S6 | Alexandria | PBE | relaxed; crystal system = monoclinic; space-group type = C2/m, No. 12
1.0
6.652 -0.208 -1.259
-3.683 5.543 -1.259
0.147 0.264 6.898
Sm Pa S
1 5 6
direct
0.000 0.000 0.000 Sm
0.164 0.836 0.500 Pa
0.332 0.668 0.000 Pa
0.668 0.332 0.000 Pa
0.836 0.164 0.500 Pa
0.500 0.500 0.500 Pa
0.915 0.579 0.748 S
0.745 0.745 0.248 S
0.255 0.255 0.752 S
0.579 0.915 0.748 S
0.421 0.085 0.252 S
0.085 0.421 0.252 S

=====

# 10
Sm2PaS6 | Alexandria | PBE | relaxed; crystal system = tetragonal; space-group type = P4_2/mnm, No. 136
1.0
-2.321 -5.998 0.182
5.624 -2.242 -2.176
4.051 -1.211 11.717
S Sm Pa
12 4 2
direct
0.792 0.208 0.500 S
0.307 0.307 0.342 S
0.292 0.292 0.000 S
0.208 0.792 0.500 S
0.807 0.193 0.158 S
0.807 0.193 0.842 S
0.693 0.693 0.658 S
0.307 0.307 0.658 S
0.708 0.708 0.000 S
0.693 0.693 0.342 S
0.193 0.807 0.842 S
0.193 0.807 0.158 S
0.500 0.500 0.167 Sm
0.000 0.000 0.667 Sm
0.500 0.500 0.833 Sm
0.000 0.000 0.333 Sm
0.000 0.000 0.000 Pa
0.500 0.500 0.500 Pa

=====

# 11
Sm6PaS8 | Alexandria | PBE | relaxed; crystal system = cubic; space-group type = Fm-3m, No. 225
1.0
-7.278 -2.923 1.538
-0.808 -7.444 2.794
-2.308 -1.203 7.557
S Sm Pa
8 6 1
direct
0.753 0.753 0.247 S
0.750 0.750 0.750 S
0.247 0.247 0.753 S
0.247 0.753 0.753 S
0.753 0.247 0.247 S
0.250 0.250 0.250 S
0.247 0.753 0.247 S
0.753 0.247 0.753 S
0.500 0.000 0.000 Sm
0.500 0.500 0.000 Sm
0.500 0.000 0.500 Sm
0.000 0.500 0.500 Sm
0.000 0.500 0.000 Sm
0.000 0.000 0.500 Sm
0.000 0.000 0.000 Pa

=====

# 12
SmPaS4 | Alexandria | PBE | relaxed; crystal system = trigonal; energy above the lowest structure with this stoichiometry = 10.7 meV per atom; space-group type = R-3m, No. 166
1.0
-3.916 -1.976 -0.565
-0.997 -1.862 -3.885
1.692 -8.643 1.192
S Pa Sm
4 1 1
direct
0.115 0.115 0.656 S
0.885 0.885 0.344 S
0.299 0.299 0.104 S
0.701 0.701 0.896 S
0.000 0.000 0.000 Pa
0.500 0.500 0.500 Sm

=====

Number 1: raw formation energy -1726 meV/atom, total magnetization 0.00 μB per atom. Number 2: raw formation energy -1916 meV/atom, total magnetization 0.10 μB per atom. Number 3: raw formation energy -1920 meV/atom, total magnetization 0.14 μB per atom. Number 4: raw formation energy -1837 meV/atom, total magnetization 0.12 μB per atom. Number 5: raw formation energy -1673 meV/atom, total magnetization 0.00 μB per atom. Number 6: raw formation energy -1661 meV/atom, total magnetization 0.10 μB per atom. Number 7: raw formation energy -1898 meV/atom, total magnetization 0.00 μB per atom. Number 8: raw formation energy -1684 meV/atom, total magnetization 0.37 μB per atom. Number 9: raw formation energy -1658 meV/atom, total magnetization 0.00 μB per atom. Number 10: raw formation energy -1583 meV/atom, total magnetization 0.00 μB per atom. Number 11: raw formation energy -1948 meV/atom, total magnetization 0.10 μB per atom. Number 12: raw formation energy -1679 meV/atom, total magnetization 0.00 μB per atom.